Entry 1:
Here is a geometry-optimized Mg2CuPt structure from Alexandria via LeMat-Bulk. Energies are from GGA-PBEsol.

Cell and atoms, written as CIF:
```
data_Mg2CuPt
_chemical_formula_sum 'Mg4 Cu2 Pt2'
_space_group_name_H-M_alt 'I -4 m 2'
_space_group_IT_number 119
_space_group_name_Hall 'I -4 -2'
_cell_length_a 3.867
_cell_length_b 3.867
_cell_length_c 8.081
_cell_angle_alpha 90.00
_cell_angle_beta 90.00
_cell_angle_gamma 90.00
loop_
_atom_site_label
_atom_site_type_symbol
_atom_site_fract_x
_atom_site_fract_y
_atom_site_fract_z
_atom_site_occupancy
Mg1 Mg 0.000 0.000 0.000 1
Mg2 Mg 0.000 0.500 0.250 1
Cu1 Cu 0.000 0.000 0.500 1
Pt1 Pt 0.000 0.500 0.750 1
```

Output
Its total energy is -32.93 eV/cell.

=====

Entry 2:
Here is a geometry-optimized MgCu2Pt structure from Alexandria via LeMat-Bulk. Energies are from GGA-PBEsol.

Cell and atoms, written as CIF:
```
data_MgCu2Pt
_chemical_formula_sum 'Mg3 Cu6 Pt3'
_space_group_name_H-M_alt 'R -3 m'
_space_group_IT_number 166
_space_group_name_Hall '-R 3 2"'
_cell_length_a 2.7406
_cell_length_b 2.7406
_cell_length_c 25.6796
_cell_angle_alpha 90.00
_cell_angle_beta 90.00
_cell_angle_gamma 120.00
loop_
_atom_site_label
_atom_site_type_symbol
_atom_site_fract_x
_atom_site_fract_y
_atom_site_fract_z
_atom_site_occupancy
Mg1 Mg 0.0000 0.0000 0.0000 1
Cu1 Cu 0.0000 0.0000 0.2492 1
Pt1 Pt 0.0000 0.0000 0.5000 1
```

Output
Its total energy is -52.10 eV/cell.

=====

Entry 3:
Here is a geometry-optimized MgCu2Re structure from Alexandria via LeMat-Bulk. Energies are from GGA-PBEsol.

Cell and atoms, written as CIF:
```
data_MgCu2Re
_chemical_formula_sum 'Mg1 Cu2 Re1'
_space_group_name_H-M_alt 'P 4/m m m'
_space_group_IT_number 123
_space_group_name_Hall '-P 4 2'
_cell_length_a 3.972
_cell_length_b 3.972
_cell_length_c 3.388
_cell_angle_alpha 90.00
_cell_angle_beta 90.00
_cell_angle_gamma 90.00
loop_
_atom_site_label
_atom_site_type_symbol
_atom_site_fract_x
_atom_site_fract_y
_atom_site_fract_z
_atom_site_occupancy
Mg1 Mg 0.000 0.000 0.000 1
Cu1 Cu 0.000 0.500 0.500 1
Re1 Re 0.500 0.500 0.000 1
```

Output
Its total energy is -22.25 eV/cell.

=====

Entry 4:
Here is a geometry-optimized MgCu2Re structure from Alexandria via LeMat-Bulk. Energies are from GGA-PBEsol.

Cell and atoms, written as CIF:
```
data_MgCu2Re
_chemical_formula_sum 'Mg4 Cu8 Re4'
_space_group_name_H-M_alt 'F -4 3 m'
_space_group_IT_number 216
_space_group_name_Hall 'F -4 2 3'
_cell_length_a 6.013
_cell_length_b 6.013
_cell_length_c 6.013
_cell_angle_alpha 90.00
_cell_angle_beta 90.00
_cell_angle_gamma 90.00
loop_
_atom_site_label
_atom_site_type_symbol
_atom_site_fract_x
_atom_site_fract_y
_atom_site_fract_z
_atom_site_occupancy
Mg1 Mg 0.000 0.000 0.000 1
Cu1 Cu 0.000 0.000 0.500 1
Cu2 Cu 0.250 0.250 0.250 1
Re1 Re 0.250 0.250 0.750 1
```

Output
Its total energy is -84.85 eV/cell.

=====

Entry 5:
Here is a geometry-optimized MgCuRe2 structure from Alexandria via LeMat-Bulk. Energies are from GGA-PBEsol.

Cell and atoms, written as CIF:
```
data_MgCuRe2
_chemical_formula_sum 'Mg2 Cu2 Re4'
_space_group_name_H-M_alt 'I m m m'
_space_group_IT_number 71
_space_group_name_Hall '-I 2 2'
_cell_length_a 2.985
_cell_length_b 4.256
_cell_length_c 9.118
_cell_angle_alpha 90.00
_cell_angle_beta 90.00
_cell_angle_gamma 90.00
loop_
_atom_site_label
_atom_site_type_symbol
_atom_site_fract_x
_atom_site_fract_y
_atom_site_fract_z
_atom_site_occupancy
Mg1 Mg 0.000 0.000 0.000 1
Cu1 Cu 0.000 0.000 0.500 1
Re1 Re 0.000 0.500 0.237 1
```

Output
Its total energy is -62.90 eV/cell.

=====

Entry 6:
Here is a geometry-optimized Mg2CuRe structure from Alexandria via LeMat-Bulk. Energies are from GGA-PBEsol.

Cell and atoms, written as CIF:
```
data_Mg2CuRe
_chemical_formula_sum 'Mg2 Cu1 Re1'
_space_group_name_H-M_alt 'P m m 2'
_space_group_IT_number 25
_cell_length_a 2.706
_cell_length_b 4.138
_cell_length_c 5.511
_cell_angle_alpha 90.00
_cell_angle_beta 90.00
_cell_angle_gamma 90.00
loop_
_space_group_symop_operation_xyz
'x,y,z'
'-x,-y,z'
'-x,y,z'
'x,-y,z'
loop_
_atom_site_label
_atom_site_type_symbol
_atom_site_fract_x
_atom_site_fract_y
_atom_site_fract_z
_atom_site_occupancy
Mg1 Mg 0.000 0.000 0.000 1
Mg2 Mg 0.500 0.500 0.284 1
Cu1 Cu 0.500 0.500 0.746 1
Re1 Re 0.000 0.000 0.518 1
```

Output
Its total energy is -19.56 eV/cell.

=====

Entry 7:
Here is a geometry-optimized MgCu2Re structure from Alexandria via LeMat-Bulk. Energies are from GGA-PBEsol.

Cell and atoms, written as CIF:
```
data_MgCu2Re
_chemical_formula_sum 'Mg1 Cu2 Re1'
_space_group_name_H-M_alt 'P 4 m m'
_space_group_IT_number 99
_cell_length_a 2.658
_cell_length_b 2.658
_cell_length_c 7.672
_cell_angle_alpha 90.00
_cell_angle_beta 90.00
_cell_angle_gamma 90.00
loop_
_space_group_symop_operation_xyz
'x,y,z'
'-y,x,z'
'-x,-y,z'
'y,-x,z'
'-x,y,z'
'y,x,z'
'x,-y,z'
'-y,-x,z'
loop_
_atom_site_label
_atom_site_type_symbol
_atom_site_fract_x
_atom_site_fract_y
_atom_site_fract_z
_atom_site_occupancy
Mg1 Mg 0.000 0.000 0.000 1
Cu1 Cu 0.000 0.000 0.526 1
Cu2 Cu 0.500 0.500 0.742 1
Re1 Re 0.500 0.500 0.285 1
```

Output
Its total energy is -22.82 eV/cell.

=====

Entry 8:
Here is a geometry-optimized Mg2CuRe structure from Alexandria via LeMat-Bulk. Energies are from GGA-PBEsol.

Cell and atoms, written as CIF:
```
data_Mg2CuRe
_chemical_formula_sum 'Mg4 Cu2 Re2'
_space_group_name_H-M_alt 'C m m m'
_space_group_IT_number 65
_space_group_name_Hall '-C 2 2'
_cell_length_a 5.577
_cell_length_b 8.245
_cell_length_c 2.655
_cell_angle_alpha 90.00
_cell_angle_beta 90.00
_cell_angle_gamma 90.00
loop_
_atom_site_label
_atom_site_type_symbol
_atom_site_fract_x
_atom_site_fract_y
_atom_site_fract_z
_atom_site_occupancy
Mg1 Mg 0.250 0.250 0.000 1
Cu1 Cu 0.000 0.000 0.500 1
Re1 Re 0.000 0.500 0.500 1
```

Output
Its total energy is -39.87 eV/cell.

=====

Entry 9:
Here is a geometry-optimized MgCuRh2 structure from Alexandria via LeMat-Bulk. Energies are from GGA-PBEsol.

Cell and atoms, written as CIF:
```
data_MgCuRh2
_chemical_formula_sum 'Mg2 Cu2 Rh4'
_space_group_name_H-M_alt 'C 1 2/m 1'
_space_group_IT_number 12
_cell_length_a 8.680
_cell_length_b 2.737
_cell_length_c 4.682
_cell_angle_alpha 90.00
_cell_angle_beta 101.05
_cell_angle_gamma 90.00
loop_
_space_group_symop_operation_xyz
'x,y,z'
'-x,-y,-z'
'-x,y,-z'
'x,-y,z'
'x+1/2,y+1/2,z'
'-x+1/2,-y+1/2,-z'
'-x+1/2,y+1/2,-z'
'x+1/2,-y+1/2,z'
loop_
_atom_site_label
_atom_site_type_symbol
_atom_site_fract_x
_atom_site_fract_y
_atom_site_fract_z
_atom_site_occupancy
Mg1 Mg 0.000 0.000 0.000 1
Cu1 Cu 0.000 0.500 0.500 1
Rh1 Rh 0.245 0.000 0.739 1
```

Output
Its total energy is -45.67 eV/cell.

=====

Entry 10:
Here is a geometry-optimized MgCu2Rh structure from Alexandria via LeMat-Bulk. Energies are from GGA-PBEsol.

Cell and atoms, written as CIF:
```
data_MgCu2Rh
_chemical_formula_sum 'Mg4 Cu8 Rh4'
_space_group_name_H-M_alt 'F -4 3 m'
_space_group_IT_number 216
_space_group_name_Hall 'F -4 2 3'
_cell_length_a 5.929
_cell_length_b 5.929
_cell_length_c 5.929
_cell_angle_alpha 90.00
_cell_angle_beta 90.00
_cell_angle_gamma 90.00
loop_
_atom_site_label
_atom_site_type_symbol
_atom_site_fract_x
_atom_site_fract_y
_atom_site_fract_z
_atom_site_occupancy
Mg1 Mg 0.000 0.000 0.000 1
Cu1 Cu 0.000 0.000 0.500 1
Cu2 Cu 0.250 0.250 0.750 1
Rh1 Rh 0.250 0.250 0.250 1
```

Output
Its total energy is -75.83 eV/cell.

=====

Entry 11:
Here is a geometry-optimized MgCu2Rh structure from Alexandria via LeMat-Bulk. Energies are from GGA-PBEsol.

Cell and atoms, written as CIF:
```
data_MgCu2Rh
_chemical_formula_sum 'Mg2 Cu4 Rh2'
_space_group_name_H-M_alt 'I -4 m 2'
_space_group_IT_number 119
_space_group_name_Hall 'I -4 -2'
_cell_length_a 3.812
_cell_length_b 3.812
_cell_length_c 7.203
_cell_angle_alpha 90.00
_cell_angle_beta 90.00
_cell_angle_gamma 90.00
loop_
_atom_site_label
_atom_site_type_symbol
_atom_site_fract_x
_atom_site_fract_y
_atom_site_fract_z
_atom_site_occupancy
Mg1 Mg 0.000 0.000 0.000 1
Cu1 Cu 0.000 0.000 0.500 1
Cu2 Cu 0.000 0.500 0.750 1
Rh1 Rh 0.000 0.500 0.250 1
```

Output
Its total energy is -38.04 eV/cell.

=====

Entry 12:
Here is a geometry-optimized MgCu2Rh structure from Alexandria via LeMat-Bulk. Energies are from GGA-PBEsol.

Cell and atoms, written as CIF:
```
data_MgCu2Rh
_chemical_formula_sum 'Mg1 Cu2 Rh1'
_space_group_name_H-M_alt 'P 4/m m m'
_space_group_IT_number 123
_space_group_name_Hall '-P 4 2'
_cell_length_a 3.700
_cell_length_b 3.700
_cell_length_c 3.804
_cell_angle_alpha 90.00
_cell_angle_beta 90.00
_cell_angle_gamma 90.00
loop_
_atom_site_label
_atom_site_type_symbol
_atom_site_fract_x
_atom_site_fract_y
_atom_site_fract_z
_atom_site_occupancy
Mg1 Mg 0.000 0.000 0.000 1
Cu1 Cu 0.000 0.500 0.500 1
Rh1 Rh 0.500 0.500 0.000 1
```

Output
Its total energy is -19.17 eV/cell.